NiHgPd3 | PBEsol | optimized geometry

* formation energy from the elements: 0.69 eV/atom
* space-group type: Pm-3m (221)

Lattice parameters (Å, degrees): 4.497 4.497 4.497 90.00 90.00 90.00
Positions (direct):
Ni  0.000  0.000  0.000
Hg  0.500  0.500  0.500
Pd  0.000  0.000  0.500
Pd  0.000  0.500  0.000
Pd  0.500  0.000  0.000



ZrNiHgPd2 | PBEsol | optimized geometry

* formation energy from the elements: 1.26 eV/atom
* space-group type: P4/mmm (123)

Lattice parameters (Å, degrees): 4.755 4.755 5.317 90.00 90.00 90.00
Positions (direct):
Zr  0.000  0.000  0.000
Ni  0.500  0.500  0.500
Hg  0.000  0.000  0.500
Pd  0.000  0.500  0.000
Pd  0.500  0.000  0.000



NiHg2Pt | PBEsol | optimized geometry

* formation energy from the elements: 0.16 eV/atom
* space-group type: R-3m (166)

Lattice parameters (Å, degrees): 8.646 8.646 8.646 19.99 19.99 19.99
Positions (direct):
Ni  0.000  0.000  0.000
Hg  0.255  0.255  0.255
Hg  0.745  0.745  0.745
Pt  0.500  0.500  0.500



NiHg2Pt | PBEsol | optimized geometry

* formation energy from the elements: 0.16 eV/atom
* space-group type: C2/m (12)

Lattice parameters (Å, degrees): 4.605 4.605 5.203 101.23 101.23 37.83
Positions (direct):
Ni  0.000  0.000  0.000
Hg  0.257  0.257  0.762
Hg  0.743  0.743  0.238
Pt  0.500  0.500  0.500



Ni2HgRu | PBEsol | optimized geometry

* formation energy from the elements: 0.37 eV/atom
* space-group type: C2/m (12)

Lattice parameters (Å, degrees): 4.406 4.406 4.877 98.86 98.86 36.01
Positions (direct):
Ni  0.244  0.244  0.210
Ni  0.756  0.756  0.790
Hg  0.000  0.000  0.500
Ru  0.500  0.500  0.000



NiHgRu2 | PBEsol | optimized geometry

* formation energy from the elements: 0.60 eV/atom
* space-group type: F-43m (216)

Lattice parameters (Å, degrees): 4.328 4.328 4.328 60.00 60.00 60.00
Positions (direct):
Ni  0.000  0.000  0.000
Hg  0.750  0.750  0.750
Ru  0.250  0.250  0.250
Ru  0.500  0.500  0.500



Ni2HgRu | PBEsol | optimized geometry

* formation energy from the elements: 0.38 eV/atom
* space-group type: P4/mmm (123)

Lattice parameters (Å, degrees): 4.439 4.439 2.719 90.00 90.00 90.00
Positions (direct):
Ni  0.000  0.500  0.000
Ni  0.500  0.000  0.000
Hg  0.000  0.000  0.500
Ru  0.500  0.500  0.500



NiHgRu2 | PBEsol | optimized geometry

* formation energy from the elements: 0.44 eV/atom
* space-group type: I-4m2 (119)

Lattice parameters (Å, degrees): 4.684 4.684 4.684 131.63 131.63 70.82
Positions (direct):
Ni  0.000  0.000  0.000
Hg  0.250  0.750  0.500
Ru  0.500  0.500  0.000
Ru  0.750  0.250  0.500